[1]
## Sr4ClF8 (PBE)

Data for a relaxed Sr4ClF8 crystal.

Output
* space-group type: No. 221
* V: 219.9 Å³/f.u.
* mass density: 4.06 g/cm³

a = 6.035 Å, b = 6.035 Å, c = 6.035 Å
α = 90.00°, β = 90.00°, γ = 90.00°
Positions (direct):
F1 0.760 0.240 0.240
F2 0.240 0.760 0.760
F3 0.240 0.760 0.240
Sr1 0.000 0.000 0.000
F4 0.760 0.240 0.760
F5 0.760 0.760 0.760
Sr2 0.000 0.500 0.500
F6 0.240 0.240 0.240
Sr3 0.500 0.500 0.000
F7 0.240 0.240 0.760
F8 0.760 0.760 0.240
Sr4 0.500 0.000 0.500
Cl1 0.500 0.500 0.500

=====

[2]
## SrClF6 (PBE)

Data for a relaxed SrClF6 crystal.

Output
* space-group type: No. 12
* V: 114.7 Å³/f.u.
* mass density: 3.43 g/cm³

a = 4.537 Å, b = 4.537 Å, c = 5.889 Å
α = 102.87°, β = 102.87°, γ = 92.15°
Positions (direct):
F1 0.425 0.812 0.798
Sr1 0.000 0.000 0.000
F2 0.575 0.188 0.202
F3 0.188 0.575 0.202
F4 0.775 0.775 0.490
Cl1 0.500 0.500 0.500
F5 0.225 0.225 0.510
F6 0.812 0.425 0.798

=====

[3]
## Sr2Cl2F (PBE)

Data for a relaxed Sr2Cl2F crystal.

Output
* space-group type: No. 123
* V: 446.0 Å³/f.u.
* mass density: 0.99 g/cm³

a = 5.684 Å, b = 5.684 Å, c = 13.803 Å
α = 90.00°, β = 90.00°, γ = 90.00°
Positions (direct):
Sr1 0.500 0.500 0.168
Sr2 0.500 0.500 0.832
Cl1 0.500 0.500 0.353
F1 0.500 0.500 0.000
Cl2 0.500 0.500 0.647

=====

[4]
## SrCl2F2 (PBE)

Data for a relaxed SrCl2F2 crystal.

Output
* space-group type: No. 12
* V: 116.1 Å³/f.u.
* mass density: 2.81 g/cm³

a = 4.020 Å, b = 4.042 Å, c = 8.394 Å
α = 99.54°, β = 90.00°, γ = 119.82°
Positions (direct):
F1 0.690 0.380 0.105
Cl1 0.907 0.814 0.392
Sr1 0.000 0.000 0.000
Cl2 0.093 0.186 0.608
F2 0.310 0.620 0.895

=====

[5]
## Sr2Cl2F (PBE)

Data for a relaxed Sr2Cl2F crystal.

Output
* space-group type: No. 127
* V: 127.8 Å³/f.u.
* mass density: 3.45 g/cm³

a = 7.346 Å, b = 7.346 Å, c = 4.736 Å
α = 90.00°, β = 90.00°, γ = 90.00°
Positions (direct):
Cl1 0.155 0.655 0.500
Cl2 0.345 0.155 0.500
Sr1 0.683 0.183 0.000
Cl3 0.845 0.345 0.500
Sr2 0.317 0.817 0.000
Cl4 0.655 0.845 0.500
Sr3 0.183 0.317 0.000
Sr4 0.817 0.683 0.000
F1 0.500 0.500 0.000
F2 0.000 0.000 0.000

=====

[6]
## SrClF (PBE)

Data for a relaxed SrClF crystal.

Output
* space-group type: No. 216
* V: 70.5 Å³/f.u.
* mass density: 3.34 g/cm³

a = 4.638 Å, b = 4.638 Å, c = 4.638 Å
α = 60.00°, β = 60.00°, γ = 60.00°
Positions (direct):
F1 0.500 0.500 0.500
Cl1 0.000 0.000 0.000
Sr1 0.250 0.250 0.250

=====

E for every record listed, in sequence, given in eV per formula unit: -68.16 -28.22 -17.54 -20.52 -20.84 -14.52.